Compound: Np2VTc
Source: Alexandria
Functional: PBE-GGA
Structure: relaxed

Its formation energy from the elements is 0.418 eV/atom. For the final energy, the calculation gives -43.693 eV/f.u. The volume comes out at 221.6 Å³/cell. The density of states at the Fermi level is 28.033 states/eV/cell. The calculation puts the energy above the most stable polymorph in this dataset at 0.000 eV per atom.

The structure belongs to space group R-3m (No. 166, hexagonal axes); the cell edges are 4.7357, 4.7357 and 11.4096 Å and the angles 90.00°, 90.00° and 120.00°. Symmetry generates all atoms from Np at (0.0000, 0.0000, 0.2505), V at (0.0000, 0.0000, 0.5000) and Tc at (0.0000, 0.0000, 0.0000).